Compound: Y7PBr12
Source: the Alexandria database
Functional: PBE
Structure: relaxed

raw formation energy	-165.0	kJ/mol of atoms
V	31.00	A^3/atom
D(E_F)	3.276	states/eV/cell
theoretical density	4.318	g cm⁻³

Lattice parameters (Å, degrees): 9.128 9.128 9.128 107.75 107.75 107.75
Fractional positions:
Y 0.000 0.000 0.000
Y 0.186 0.470 0.395
Y 0.395 0.186 0.470
Y 0.470 0.395 0.186
Y 0.530 0.605 0.814
Y 0.605 0.814 0.530
Y 0.814 0.530 0.605
P 0.500 0.500 0.500
Br 0.033 0.113 0.341
Br 0.113 0.341 0.033
Br 0.185 0.576 0.726
Br 0.274 0.815 0.424
Br 0.341 0.033 0.113
Br 0.424 0.274 0.815
Br 0.576 0.726 0.185
Br 0.659 0.967 0.887
Br 0.726 0.185 0.576
Br 0.815 0.424 0.274
Br 0.887 0.659 0.967
Br 0.967 0.887 0.659